Below is an optimized crystal structure of PuCu2F6, with properties calculated at the PBE-GGA level.

Properties
* formation energy (no corrections): -20.9 eV/f.u.
* space group: P-3m1

Cell lengths 5.0981, 6.5587, 6.5587 Å; angles 120.00, 90.00, 90.00 degrees
Fractional coordinates of all 9 atoms:
F (0.2367, 0.8375, 0.1625)
F (0.2367, 0.3250, 0.1625)
F (0.2367, 0.8375, 0.6750)
F (0.7633, 0.6750, 0.8375)
F (0.7633, 0.1625, 0.8375)
F (0.7633, 0.1625, 0.3250)
Cu (0.2511, 0.6667, 0.3333)
Cu (0.7489, 0.3333, 0.6667)
Pu (0.0000, 0.0000, 0.0000)